{"formula": "PmNi2O4", "functional": "GGA+U", "state": "relaxed", "cell": [[-3.449, 3.449, 3.422], [3.449, -3.449, 3.422], [3.449, 3.449, -3.422]], "species": ["Pm", "Pm", "Ni", "Ni", "Ni", "Ni", "O", "O", "O", "O", "O", "O", "O", "O"], "frac_coords": [[0.375, 0.625, 0.750], [0.625, 0.375, 0.250], [0.000, 0.000, 0.000], [0.000, 0.000, 0.500], [0.000, 0.500, 0.000], [0.500, 0.000, 0.500], [0.140, 0.711, 0.429], [0.218, 0.289, 0.929], [0.289, 0.218, 0.429], [0.289, 0.860, 0.071], [0.711, 0.140, 0.929], [0.711, 0.782, 0.571], [0.782, 0.711, 0.071], [0.860, 0.289, 0.571]], "n_ef_per_ev_atom": 0.783, "energy_ev_per_atom": -5.96, "sg": "I4_1/amd", "magmom_total_mub_per_fu": 2.988, "mass_density_g_cm3": 6.7}